The following is a PBE calculation of an optimized crystal structure of Ta6Nb12W, from Alexandria via LeMat-Bulk.

Cell: 9.9865 9.9865 12.5060 Å, 90.00 90.00 120.00°
Closest atoms and distances in Å follow each position.
Space group R-3 (No. 148, hexagonal axes)
Inequivalent atoms, fractional coordinates:
Ta  0.0325  0.5930  0.2073 x18  1 W 2.76, 8 Nb 2.88-3.08, 2 Ta 2.90
Nb  0.0486  0.8647  0.3049 x18  4 Nb 2.82-2.95, 5 Ta 2.91-3.13, 1 W 2.94
Nb  0.0646  0.2273  0.9158 x18  4 Ta 2.88-2.91, 5 Nb 2.92-3.18
W  0.0000  0.0000  0.5000 x3  6 Ta 2.76, 6 Nb 2.94

Formation enthalpy at 0 K ... 147 meV per atom
Density of states at the Fermi level ... 55.90 states/eV/cell
Theoretical density ... 11.00 g/cm³
Crystal system ... trigonal

***

The following is a PBE calculation of an optimized crystal structure of TiVBi3, from Alexandria via LeMat-Bulk.

Cell: 5.2823 5.2823 5.2823 Å, 90.00 90.00 90.00°
Closest atoms and distances in Å follow each position.
Space group Pm-3m (No. 221)
Inequivalent atoms, fractional coordinates:
Ti  0.0000  0.0000  0.0000 x1  12 Bi 3.74
V  0.5000  0.5000  0.5000 x1  6 Bi 2.64
Bi  0.0000  0.5000  0.5000 x3  2 V 2.64

Formation enthalpy at 0 K ... 748 meV per atom
Density of states at the Fermi level ... 7.97 states/eV/cell
Excess energy over the best structure of this formula in the dataset ... 0.16 eV/f.u.
Theoretical density ... 8.18 g/cm³
Crystal system ... cubic